K3CrIn | GGA-PBE | optimized geometry

abc: 6.545 6.545 6.545
angles: 90.00 90.00 90.00
Last column: magnetic moment on the atom in μB.
Positions (direct):
K 0.500 0.000 0.000  0.02
K 0.000 0.500 0.000  0.02
K 0.000 0.000 0.500  0.02
In 0.500 0.500 0.500  0.00
Cr 0.000 0.000 0.000  4.30

Calculated values
E_form in eV per atom: 0.75
D(E_F) in states/eV/atom: 0.786
Mass density in g cm⁻³: 1.68
M_tot in μB/atom: 1.0811
Energy above the lowest structure with this stoichiometry in meV/atom: 0
Total energy in eV per atom: -2.3778

=====

KCrIn2 | GGA-PBE | optimized geometry

abc: 5.601 5.601 3.409
angles: 90.00 90.00 97.35
Last column: magnetic moment on the atom in μB.
Positions (direct):
K 0.500 0.000 0.500  -0.02
In 0.000 0.000 0.000  -0.08
In 0.500 0.500 0.000  -0.08
Cr 0.000 0.500 0.500  3.82

Calculated values
E_form in eV per atom: 0.52
D(E_F) in states/eV/atom: 0.781
Mass density in g cm⁻³: 5.02
M_tot in μB/atom: 0.9594
Energy above the lowest structure with this stoichiometry in meV/atom: 316
Total energy in eV per atom: -3.5263

=====

KCrIn2 | GGA-PBE | optimized geometry

abc: 7.373 6.071 3.162
angles: 89.99 64.63 119.74
Last column: magnetic moment on the atom in μB.
Positions (direct):
Cr 0.500 0.500 0.000  3.92
K 0.000 0.500 0.500  0.00
In 0.000 0.000 0.000  -0.03
In 0.500 0.000 0.500  -0.03

Calculated values
E_form in eV per atom: 0.51
D(E_F) in states/eV/atom: 0.763
Mass density in g cm⁻³: 4.98
M_tot in μB/atom: 1.0745
Energy above the lowest structure with this stoichiometry in meV/atom: 305
Total energy in eV per atom: -3.5369

=====

KCrIn | GGA-PBE | optimized geometry

abc: 5.466 5.466 3.289
angles: 90.00 90.00 120.00
Last column: magnetic moment on the atom in μB.
Positions (direct):
In 0.667 0.333 0.166  -0.07
K 0.333 0.667 0.666  0.01
Cr 0.000 0.000 0.167  4.02

Calculated values
E_form in eV per atom: 0.64
D(E_F) in states/eV/atom: 0.563
Mass density in g cm⁻³: 4.02
M_tot in μB/atom: 1.5272
Energy above the lowest structure with this stoichiometry in meV/atom: 166
Total energy in eV per atom: -3.8492

=====

KCrIn2 | GGA-PBE | optimized geometry

abc: 4.865 4.862 4.612
angles: 90.00 90.00 90.00
Last column: magnetic moment on the atom in μB.
Positions (direct):
Cr 0.000 0.500 0.500  3.95
In 0.500 0.500 0.000  -0.06
In 0.000 0.000 0.000  -0.06
K 0.500 0.000 0.500  -0.01

Calculated values
E_form in eV per atom: 0.51
D(E_F) in states/eV/atom: 0.575
Mass density in g cm⁻³: 4.88
M_tot in μB/atom: 1.0467
Energy above the lowest structure with this stoichiometry in meV/atom: 305
Total energy in eV per atom: -3.5367

=====

KCrIn2 | GGA-PBE | optimized geometry

abc: 6.660 6.660 6.660
angles: 151.24 126.77 61.62
Last column: magnetic moment on the atom in μB.
Positions (direct):
Cr 0.250 0.750 0.500  3.83
In 0.458 0.458 0.000  -0.02
In 0.042 0.042 0.000  -0.02
K 0.750 0.250 0.500  0.02

Calculated values
E_form in eV per atom: 0.42
D(E_F) in states/eV/atom: 0.670
Mass density in g cm⁻³: 4.72
M_tot in μB/atom: 1.0840
Energy above the lowest structure with this stoichiometry in meV/atom: 209
Total energy in eV per atom: -3.6326

=====

KCrIn | GGA-PBE | optimized geometry

abc: 3.495 3.495 8.243
angles: 90.00 90.00 120.00
Last column: magnetic moment on the atom in μB.
Positions (direct):
K 0.333 0.667 0.666  0.00
In 0.667 0.333 0.295  -0.04
Cr 0.000 0.000 0.039  3.85

Calculated values
E_form in eV per atom: 0.69
D(E_F) in states/eV/atom: 0.599
Mass density in g cm⁻³: 3.92
M_tot in μB/atom: 1.4404
Energy above the lowest structure with this stoichiometry in meV/atom: 219
Total energy in eV per atom: -3.7964

=====

KCrIn2 | GGA-PBE | optimized geometry

abc: 5.310 5.310 5.310
angles: 120.10 120.10 89.83
Last column: magnetic moment on the atom in μB.
Positions (direct):
Cr 0.750 0.250 0.500  4.11
K 0.500 0.500 0.000  0.03
In 0.000 0.000 0.000  -0.03
In 0.250 0.750 0.500  -0.02

Calculated values
E_form in eV per atom: 0.45
D(E_F) in states/eV/atom: 0.291
Mass density in g cm⁻³: 5.04
M_tot in μB/atom: 1.1876
Energy above the lowest structure with this stoichiometry in meV/atom: 241
Total energy in eV per atom: -3.6013

=====

KCrIn2 | GGA-PBE | optimized geometry

abc: 5.217 5.217 7.360
angles: 82.24 82.24 38.35
Last column: magnetic moment on the atom in μB.
Positions (direct):
In 0.997 0.997 0.050  -0.01
In 0.736 0.736 0.818  0.01
Cr 0.268 0.268 0.135  3.86
K 0.500 0.500 0.497  0.01

Calculated values
E_form in eV per atom: 0.37
D(E_F) in states/eV/atom: 0.467
Mass density in g cm⁻³: 4.33
M_tot in μB/atom: 1.1344
Energy above the lowest structure with this stoichiometry in meV/atom: 165
Total energy in eV per atom: -3.6773

=====

KCrIn2 | GGA-PBE | optimized geometry

abc: 5.273 5.273 5.273
angles: 60.00 60.00 60.00
Last column: magnetic moment on the atom in μB.
Positions (direct):
K 0.000 0.000 0.000  -0.01
Cr 0.500 0.500 0.500  3.84
In 0.250 0.250 0.250  -0.04
In 0.750 0.750 0.750  -0.04

Calculated values
E_form in eV per atom: 0.41
D(E_F) in states/eV/atom: 0.591
Mass density in g cm⁻³: 5.14
M_tot in μB/atom: 1.0574
Energy above the lowest structure with this stoichiometry in meV/atom: 207
Total energy in eV per atom: -3.6354

=====

KCrIn2 | GGA-PBE | optimized geometry

abc: 3.573 3.941 8.347
angles: 90.00 90.00 90.00
Last column: magnetic moment on the atom in μB.
Positions (direct):
In 0.000 0.000 0.965  -0.02
In 0.500 0.500 0.194  -0.01
Cr 0.500 0.500 0.835  3.85
K 0.000 0.000 0.506  0.02

Calculated values
E_form in eV per atom: 0.35
D(E_F) in states/eV/atom: 0.458
Mass density in g cm⁻³: 4.53
M_tot in μB/atom: 1.1362
Energy above the lowest structure with this stoichiometry in meV/atom: 144
Total energy in eV per atom: -3.6985

=====

KCrIn | GGA-PBE | optimized geometry

abc: 5.454 5.454 5.454
angles: 60.00 60.00 60.00
Last column: magnetic moment on the atom in μB.
Positions (direct):
Cr 0.000 0.000 0.000  4.24
In 0.500 0.500 0.500  -0.03
K 0.750 0.750 0.750  0.02

Calculated values
E_form in eV per atom: 1.15
D(E_F) in states/eV/atom: 0.778
Mass density in g cm⁻³: 2.98
M_tot in μB/atom: 1.6506
Energy above the lowest structure with this stoichiometry in meV/atom: 682
Total energy in eV per atom: -3.3330